Nd2Hg4Pb | PBE | relaxed

Unit cell a=5.6733 b=5.6733 c=15.6718 alpha=90.00 beta=90.00 gamma=90.00
With the nearest neighbours (Å) after each atom.
Space group I4/mmm (No. 139)
Asymmetric unit:
Nd 0.0000 0.0000 0.1094 x4  5 Hg 3.06-3.31
Hg 0.0000 0.0000 0.3046 x4  1 Nd 3.06, 1 Pb 3.06
Hg 0.0000 0.5000 0.0000 x4  2 Pb 2.84
Pb 0.0000 0.0000 0.5000 x2  6 Hg 2.84-3.06

Calculated values
* calculated density: 8.55 Mg/m³
* total DFT energy (no corrections): -1.9894 eV per atom